Record 1
! CoOsAu2 | the Alexandria database | GGA-PBE | optimized geometry; values from VASP
&SYSTEM
  ibrav = 0, nat = 4, ntyp = 3
/
ATOMIC_SPECIES
Co 58.93 Co.upf
Au 196.97 Au.upf
Os 190.23 Os.upf
ATOMIC_POSITIONS angstrom
Co 2.038 1.329 1.427
Au 0.000 2.690 0.057
Au 0.000 2.657 2.829
Os 2.038 3.986 4.282
CELL_PARAMETERS angstrom
4.076 0.000 0.000
0.000 2.690 0.032
0.000 2.625 5.677
! - Distance to the lowest polymorph of the same formula: 317 meV/atom

Record 2
! TbDy3Pb2C | the Alexandria database | GGA-PBE | optimized geometry; values from VASP
&SYSTEM
  ibrav = 0, nat = 7, ntyp = 4
/
ATOMIC_SPECIES
Dy 162.50 Dy.upf
Pb 207.20 Pb.upf
C 12.01 C.upf
Tb 158.93 Tb.upf
ATOMIC_POSITIONS angstrom
Dy -0.213 2.033 1.498
Pb -0.790 -0.200 4.040
C 0.000 0.000 0.000
Pb -0.485 4.622 3.405
Tb -1.979 -0.961 1.022
Dy -1.061 2.390 5.948
Dy 1.383 -1.079 1.662
CELL_PARAMETERS angstrom
-3.958 -1.922 2.045
2.765 -2.158 3.324
-0.082 8.503 2.077
! - Raw total energy: -5.549 eV per atom

Record 3
! SrNi2PtW | the Alexandria database | GGA-PBE | optimized geometry; values from VASP
&SYSTEM
  ibrav = 0, nat = 5, ntyp = 4
/
ATOMIC_SPECIES
Pt 195.08 Pt.upf
Ni 58.69 Ni.upf
W 183.84 W.upf
Sr 87.62 Sr.upf
ATOMIC_POSITIONS angstrom
Pt 0.000 0.000 0.000
Ni 1.262 -1.823 0.830
W -1.354 -2.581 3.145
Sr -2.222 -1.493 0.099
Ni -0.395 0.735 2.216
CELL_PARAMETERS angstrom
-0.790 1.470 4.431
-4.444 -2.986 0.199
2.525 -3.646 1.660
! - Raw total energy: -4.903 eV per atom

Record 4
! Pm2DyAu | the Alexandria database | GGA-PBE | optimized geometry; values from VASP
&SYSTEM
  ibrav = 0, nat = 16, ntyp = 3
/
ATOMIC_SPECIES
Pm 145.00 Pm.upf
Dy 162.50 Dy.upf
Au 196.97 Au.upf
ATOMIC_POSITIONS angstrom
Pm 5.478 2.155 9.495
Dy 0.856 6.976 7.533
Pm 4.630 5.706 9.495
Dy 4.225 3.675 2.511
Pm 5.478 2.155 5.571
Pm 2.109 1.395 4.473
Au 3.082 6.417 2.511
Dy 2.514 3.426 7.533
Dy 5.883 0.125 2.511
Pm 2.109 1.395 0.549
Pm 1.261 4.945 4.473
Au 0.288 2.867 2.511
Pm 4.630 5.706 5.571
Au 3.657 0.684 7.533
Pm 1.261 4.945 0.549
Au 6.451 4.234 7.533
CELL_PARAMETERS angstrom
6.739 0.000 0.000
0.000 7.100 0.000
0.000 0.000 10.044
! - Distance to the lowest polymorph of the same formula: 0 meV/atom

Record 5
! ZnAg2Te | the Alexandria database | GGA-PBE | optimized geometry; values from VASP
&SYSTEM
  ibrav = 0, nat = 4, ntyp = 3
/
ATOMIC_SPECIES
Ag 107.87 Ag.upf
Te 127.60 Te.upf
Zn 65.41 Zn.upf
ATOMIC_POSITIONS angstrom
Ag 3.780 2.479 0.000
Te 2.718 -0.023 1.490
Zn 1.076 2.483 1.506
Ag 0.001 0.001 0.000
CELL_PARAMETERS angstrom
5.424 -0.025 -0.016
2.138 4.985 0.016
-3.768 -2.499 2.996
! - Distance to the lowest polymorph of the same formula: 84 meV/atom
! - Formation energy (no corrections): 0.11 eV per atom

Record 6
! Er5ZrSc3 | the Alexandria database | GGA-PBE | optimized geometry; values from VASP
&SYSTEM
  ibrav = 0, nat = 18, ntyp = 3
/
ATOMIC_SPECIES
Er 167.26 Er.upf
Zr 91.22 Zr.upf
Sc 44.96 Sc.upf
ATOMIC_POSITIONS angstrom
Er 4.518 5.488 5.074
Er 4.820 5.413 -0.365
Er 5.661 4.275 8.444
Er 6.526 3.154 -0.365
Er 6.515 2.843 5.074
Er 7.737 7.919 3.556
Er 7.605 5.742 6.127
Zr 12.601 9.515 6.747
Er 9.735 5.274 3.556
Sc 4.126 3.116 2.169
Sc 1.453 1.097 4.680
Sc 10.127 7.646 6.462
Er 6.648 5.020 2.504
Sc 3.502 2.644 6.472
Er 8.592 6.487 0.187
Sc 10.751 8.118 2.159
Zr 1.652 1.247 1.884
Sc 0.000 0.000 0.000
CELL_PARAMETERS angstrom
8.046 1.141 -0.365
3.300 7.426 -0.365
2.907 2.195 9.360
! - Raw total energy: -5.145 eV per atom

Record 7
! Pm2CuSe | the Alexandria database | GGA-PBE | optimized geometry; values from VASP
&SYSTEM
  ibrav = 0, nat = 4, ntyp = 3
/
ATOMIC_SPECIES
Pm 145.00 Pm.upf
Se 78.96 Se.upf
Cu 63.55 Cu.upf
ATOMIC_POSITIONS angstrom
Pm 7.649 4.416 3.123
Pm 2.550 1.472 1.041
Se 0.000 0.000 0.000
Cu 5.099 2.944 2.082
CELL_PARAMETERS angstrom
5.099 0.000 0.000
2.550 4.416 0.000
2.550 1.472 4.164
! - Distance to the lowest polymorph of the same formula: 325 meV/atom
! - Formation energy (no corrections): -0.67 eV per atom

Record 8
! Tb3Pm2Tm7 | the Alexandria database | GGA-PBE | optimized geometry; values from VASP
&SYSTEM
  ibrav = 0, nat = 12, ntyp = 3
/
ATOMIC_SPECIES
Tm 168.93 Tm.upf
Tb 158.93 Tb.upf
Pm 145.00 Pm.upf
ATOMIC_POSITIONS angstrom
Tm 0.000 2.817 3.350
Tm 1.792 0.000 2.654
Tm 0.000 2.817 10.117
Tm 0.000 0.000 8.646
Tb 1.792 2.817 0.000
Tm 1.792 2.817 16.109
Pm 0.000 0.000 5.504
Tm 0.000 0.000 0.000
Tb 1.792 0.000 11.787
Tm 0.000 0.000 15.413
Pm 0.000 2.817 13.259
Tb 1.792 2.817 6.976
CELL_PARAMETERS angstrom
3.585 0.000 0.000
0.000 5.635 0.000
0.000 -2.817 18.763
! - Distance to the lowest polymorph of the same formula: 0 meV/atom